DFT (PBE with a Hubbard U) results for a geometry-optimized RbHfMoO6 structure.

Computed properties:
Raw total energy   -7.40 eV per atom

POSCAR file:
```
RbHfMoO6
1.0
5.603 0.050 0.013
2.845 4.827 -0.013
0.014 -0.025 6.059
Rb O Hf Mo
1 6 1 1
direct
0.998 0.998 0.000
0.024 0.400 0.307
0.398 0.588 0.344
0.588 0.398 0.656
0.579 0.015 0.309
0.400 0.024 0.693
0.015 0.579 0.691
0.679 0.679 0.500
0.319 0.319 0.500
```